1.
Computed, not measured: crystalline Hf2NbTe at its relaxed geometry at the PBE level of DFT.

```
data_Hf2NbTe
_space_group_name_H-M_alt 'C 1 c 1'
_space_group_IT_number 9
_space_group_name_Hall 'C -2yc'
_cell_length_a 17.700
_cell_length_b 3.317
_cell_length_c 6.129
_cell_angle_alpha 90.00
_cell_angle_beta 96.22
_cell_angle_gamma 90.00
loop_
_atom_site_label
_atom_site_fract_x
_atom_site_fract_y
_atom_site_fract_z
Hf1 0.000 0.183 0.000
Hf2 0.243 0.195 0.070
Nb1 0.122 0.381 0.331
Te1 0.370 0.250 0.787
```

***

2.
Computed, not measured: crystalline HfNbTe at its relaxed geometry at the PBE level of DFT.

```
data_HfNbTe
_space_group_name_H-M_alt 'C 1 2/m 1'
_space_group_IT_number 12
_space_group_name_Hall '-C 2y'
_cell_length_a 10.811
_cell_length_b 3.610
_cell_length_c 7.468
_cell_angle_alpha 90.00
_cell_angle_beta 105.81
_cell_angle_gamma 90.00
loop_
_atom_site_label
_atom_site_fract_x
_atom_site_fract_y
_atom_site_fract_z
Hf1 0.143 0.000 0.155
Nb1 0.156 0.500 0.484
Te1 0.077 0.500 0.821
```

***

3.
Computed, not measured: crystalline Hf2NbTe at its relaxed geometry at the PBE level of DFT.

```
data_Hf2NbTe
_space_group_name_H-M_alt 'I -4 2 d'
_space_group_IT_number 122
_space_group_name_Hall 'I -4 2bw'
_cell_length_a 4.220
_cell_length_b 4.220
_cell_length_c 20.338
_cell_angle_alpha 90.00
_cell_angle_beta 90.00
_cell_angle_gamma 90.00
loop_
_atom_site_label
_atom_site_fract_x
_atom_site_fract_y
_atom_site_fract_z
Hf1 0.250 0.250 0.125
Nb1 0.000 0.000 0.000
Te1 0.000 0.000 0.500
```

***

4.
Computed, not measured: crystalline Hf2NbTe at its relaxed geometry at the PBE level of DFT.

```
data_Hf2NbTe
_space_group_name_H-M_alt 'R -3 m'
_space_group_IT_number 166
_space_group_name_Hall '-R 3 2"'
_cell_length_a 3.1627
_cell_length_b 3.1627
_cell_length_c 31.1268
_cell_angle_alpha 90.00
_cell_angle_beta 90.00
_cell_angle_gamma 120.00
loop_
_atom_site_label
_atom_site_fract_x
_atom_site_fract_y
_atom_site_fract_z
Hf1 0.0000 0.0000 0.0884
Nb1 0.0000 0.0000 0.0000
Te1 0.0000 0.0000 0.5000
```

***

5.
# HfNbTe2, optimized geometry, DFT PBE
data_HfNbTe2
_space_group_name_H-M_alt 'I -4 2 d'
_space_group_IT_number 122
_space_group_name_Hall 'I -4 2bw'
_cell_length_a 4.973
_cell_length_b 4.973
_cell_length_c 17.576
_cell_angle_alpha 90.00
_cell_angle_beta 90.00
_cell_angle_gamma 90.00
loop_
_atom_site_label
_atom_site_fract_x
_atom_site_fract_y
_atom_site_fract_z
Hf1 0.000 0.000 0.000
Nb1 0.000 0.000 0.500
Te1 0.231 0.250 0.625
# * offset from the most stable computed form: 545 meV/atom

***

6.
# HfNbTe2, optimized geometry, DFT PBE
data_HfNbTe2
_space_group_name_H-M_alt 'F m -3 m'
_space_group_IT_number 225
_space_group_name_Hall '-F 4 2 3'
_cell_length_a 6.975
_cell_length_b 6.975
_cell_length_c 6.975
_cell_angle_alpha 90.00
_cell_angle_beta 90.00
_cell_angle_gamma 90.00
loop_
_atom_site_label
_atom_site_fract_x
_atom_site_fract_y
_atom_site_fract_z
Hf1 0.000 0.000 0.000
Nb1 0.000 0.000 0.500
Te1 0.250 0.250 0.250
# * offset from the most stable computed form: 0 meV/atom

***

7.
Computed, not measured: crystalline Hf2NbZnTe at its relaxed geometry at the PBE level of DFT.

```
data_Hf2NbZnTe
_space_group_name_H-M_alt 'P 4/m m m'
_space_group_IT_number 123
_space_group_name_Hall '-P 4 2'
_cell_length_a 4.927
_cell_length_b 4.927
_cell_length_c 4.783
_cell_angle_alpha 90.00
_cell_angle_beta 90.00
_cell_angle_gamma 90.00
loop_
_atom_site_label
_atom_site_fract_x
_atom_site_fract_y
_atom_site_fract_z
Hf1 0.000 0.500 0.000
Nb1 0.000 0.000 0.500
Zn1 0.000 0.000 0.000
Te1 0.500 0.500 0.500
```

***

8.
Computed, not measured: crystalline HfTh2Nb at its relaxed geometry at the PBE level of DFT.

```
data_HfTh2Nb
_space_group_name_H-M_alt 'R -3 m'
_space_group_IT_number 166
_space_group_name_Hall '-R 3 2"'
_cell_length_a 3.2488
_cell_length_b 3.2488
_cell_length_c 34.6636
_cell_angle_alpha 90.00
_cell_angle_beta 90.00
_cell_angle_gamma 120.00
loop_
_atom_site_label
_atom_site_fract_x
_atom_site_fract_y
_atom_site_fract_z
Hf1 0.0000 0.0000 0.0000
Th1 0.0000 0.0000 0.4153
Nb1 0.0000 0.0000 0.5000
```

***

9.
# HfThNb2, optimized geometry, DFT PBE
data_HfThNb2
_space_group_name_H-M_alt 'P 4/m m m'
_space_group_IT_number 123
_space_group_name_Hall '-P 4 2'
_cell_length_a 3.531
_cell_length_b 3.531
_cell_length_c 7.067
_cell_angle_alpha 90.00
_cell_angle_beta 90.00
_cell_angle_gamma 90.00
loop_
_atom_site_label
_atom_site_fract_x
_atom_site_fract_y
_atom_site_fract_z
Hf1 0.000 0.000 0.000
Th1 0.000 0.000 0.500
Nb1 0.500 0.500 0.238
# * offset from the most stable computed form: 55 meV/atom

***

10.
# Hf2ThNb, optimized geometry, DFT PBE
data_Hf2ThNb
_space_group_name_H-M_alt 'P 4/m m m'
_space_group_IT_number 123
_space_group_name_Hall '-P 4 2'
_cell_length_a 3.483
_cell_length_b 3.483
_cell_length_c 7.813
_cell_angle_alpha 90.00
_cell_angle_beta 90.00
_cell_angle_gamma 90.00
loop_
_atom_site_label
_atom_site_fract_x
_atom_site_fract_y
_atom_site_fract_z
Hf1 0.000 0.000 0.203
Th1 0.500 0.500 0.500
Nb1 0.500 0.500 0.000
# * offset from the most stable computed form: 0 meV/atom

***

11.
# Hf2ThNb, optimized geometry, DFT PBE
data_Hf2ThNb
_space_group_name_H-M_alt 'R -3 m'
_space_group_IT_number 166
_space_group_name_Hall '-R 3 2"'
_cell_length_a 3.1943
_cell_length_b 3.1943
_cell_length_c 32.8640
_cell_angle_alpha 90.00
_cell_angle_beta 90.00
_cell_angle_gamma 120.00
loop_
_atom_site_label
_atom_site_fract_x
_atom_site_fract_y
_atom_site_fract_z
Hf1 0.0000 0.0000 0.0959
Th1 0.0000 0.0000 0.0000
Nb1 0.0000 0.0000 0.5000
# * offset from the most stable computed form: 258 meV/atom

***

12.
# HfThNb2, optimized geometry, DFT PBE
data_HfThNb2
_space_group_name_H-M_alt 'F m -3 m'
_space_group_IT_number 225
_space_group_name_Hall '-F 4 2 3'
_cell_length_a 7.058
_cell_length_b 7.058
_cell_length_c 7.058
_cell_angle_alpha 90.00
_cell_angle_beta 90.00
_cell_angle_gamma 90.00
loop_
_atom_site_label
_atom_site_fract_x
_atom_site_fract_y
_atom_site_fract_z
Hf1 0.000 0.000 0.000
Th1 0.000 0.000 0.500
Nb1 0.250 0.250 0.250
# * offset from the most stable computed form: 0 meV/atom

***

13.
Computed, not measured: crystalline Hf5Th12Nb3 at its relaxed geometry at the PBE level of DFT.

```
data_Hf5Th12Nb3
_space_group_name_H-M_alt 'I a -3 d'
_space_group_IT_number 230
_space_group_name_Hall '-I 4bd 2c 3'
_cell_length_a 17.509
_cell_length_b 17.509
_cell_length_c 17.509
_cell_angle_alpha 90.00
_cell_angle_beta 90.00
_cell_angle_gamma 90.00
loop_
_atom_site_label
_atom_site_fract_x
_atom_site_fract_y
_atom_site_fract_z
Hf1 0.000 0.000 0.000
Hf2 0.000 0.250 0.375
Th1 0.023 0.085 0.644
Nb1 0.000 0.250 0.125
```

***

14.
Computed, not measured: crystalline HfThNb4 at its relaxed geometry at the PBE level of DFT.

```
data_HfThNb4
_space_group_name_H-M_alt 'F -4 3 m'
_space_group_IT_number 216
_space_group_name_Hall 'F -4 2 3'
_cell_length_a 8.001
_cell_length_b 8.001
_cell_length_c 8.001
_cell_angle_alpha 90.00
_cell_angle_beta 90.00
_cell_angle_gamma 90.00
loop_
_atom_site_label
_atom_site_fract_x
_atom_site_fract_y
_atom_site_fract_z
Hf1 0.000 0.000 0.000
Th1 0.250 0.250 0.250
Nb1 0.125 0.125 0.625
```

***

15.
# HfTiNb, optimized geometry, DFT PBE
data_HfTiNb
_space_group_name_H-M_alt 'C m c 21'
_space_group_IT_number 36
_space_group_name_Hall 'C 2c -2'
_cell_length_a 3.527
_cell_length_b 13.711
_cell_length_c 4.764
_cell_angle_alpha 90.00
_cell_angle_beta 90.00
_cell_angle_gamma 90.00
loop_
_atom_site_label
_atom_site_fract_x
_atom_site_fract_y
_atom_site_fract_z
Hf1 0.000 0.080 0.000
Ti1 0.000 0.251 0.421
Nb1 0.000 0.399 0.007
# * offset from the most stable computed form: 15 meV/atom

***

16.
# HfTiNb, optimized geometry, DFT PBE
data_HfTiNb
_space_group_name_H-M_alt 'C 1 m 1'
_space_group_IT_number 8
_space_group_name_Hall 'C -2y'
_cell_length_a 10.139
_cell_length_b 4.702
_cell_length_c 5.904
_cell_angle_alpha 90.00
_cell_angle_beta 125.23
_cell_angle_gamma 90.00
loop_
_atom_site_label
_atom_site_fract_x
_atom_site_fract_y
_atom_site_fract_z
Hf1 0.000 0.000 0.000
Hf2 0.159 0.500 0.844
Ti1 0.185 0.500 0.376
Ti2 0.302 0.000 0.661
Nb1 0.344 0.000 0.198
Nb2 0.484 0.500 0.475
# * offset from the most stable computed form: 21 meV/atom

***

17.
# HfTi2Nb2, optimized geometry, DFT PBE
data_HfTi2Nb2
_space_group_name_H-M_alt 'P 1 21/m 1'
_space_group_IT_number 11
_space_group_name_Hall '-P 2yb'
_cell_length_a 5.471
_cell_length_b 4.832
_cell_length_c 7.223
_cell_angle_alpha 90.00
_cell_angle_beta 102.60
_cell_angle_gamma 90.00
loop_
_atom_site_label
_atom_site_fract_x
_atom_site_fract_y
_atom_site_fract_z
Hf1 0.228 0.250 0.247
Ti1 0.085 0.250 0.822
Ti2 0.192 0.750 0.565
Nb1 0.350 0.750 0.957
Nb2 0.488 0.250 0.659
# * offset from the most stable computed form: 0 meV/atom

***

18.
# HfTiNb, optimized geometry, DFT PBE
data_HfTiNb
_space_group_name_H-M_alt 'P -3 m 1'
_space_group_IT_number 164
_space_group_name_Hall '-P 3 2"'
_cell_length_a 4.7341
_cell_length_b 4.7341
_cell_length_c 5.8814
_cell_angle_alpha 90.00
_cell_angle_beta 90.00
_cell_angle_gamma 120.00
loop_
_atom_site_label
_atom_site_fract_x
_atom_site_fract_y
_atom_site_fract_z
Hf1 0.3333 0.6667 0.3890
Ti1 0.3333 0.6667 0.8966
Nb1 0.0000 0.0000 0.2372
# * offset from the most stable computed form: 44 meV/atom

***

19.
# HfTiNb2, optimized geometry, DFT PBE
data_HfTiNb2
_space_group_name_H-M_alt 'C 1 m 1'
_space_group_IT_number 8
_space_group_name_Hall 'C -2y'
_cell_length_a 5.581
_cell_length_b 2.884
_cell_length_c 9.774
_cell_angle_alpha 90.00
_cell_angle_beta 104.48
_cell_angle_gamma 90.00
loop_
_atom_site_label
_atom_site_fract_x
_atom_site_fract_y
_atom_site_fract_z
Hf1 0.000 0.000 0.000
Ti1 0.259 0.000 0.501
Nb1 0.135 0.000 0.739
Nb2 0.399 0.000 0.264
# * offset from the most stable computed form: 67 meV/atom

***

20.
Computed, not measured: crystalline Hf2TiNb2 at its relaxed geometry at the PBE level of DFT.

```
data_Hf2TiNb2
_space_group_name_H-M_alt 'P 4/m b m'
_space_group_IT_number 127
_space_group_name_Hall '-P 4 2ab'
_cell_length_a 7.225
_cell_length_b 7.225
_cell_length_c 3.914
_cell_angle_alpha 90.00
_cell_angle_beta 90.00
_cell_angle_gamma 90.00
loop_
_atom_site_label
_atom_site_fract_x
_atom_site_fract_y
_atom_site_fract_z
Hf1 0.155 0.345 0.000
Ti1 0.000 0.000 0.500
Nb1 0.150 0.650 0.500
```

***

The records above give, respectively, raw total energy values of -133.45, -94.82, -127.03, -94.72, -101.15, -109.87, -31.08, -97.73, -36.70, -37.02, -107.96, -147.69, -1157.95, -229.51, -111.15, -111.08, -91.27, -55.40, -74.82, -93.39 eV per cell.